# La2ZnBiRu

La2ZnBiRu after structural relaxation (PBE, Alexandria via LeMat-Bulk).

## Properties
Space-group type: No. 123
E_form: -0.479 eV per atom

a b c (Å): 5.4196 5.4196 4.8839
angles (deg): 90.00 90.00 90.00
Atoms (fractional coordinates):
Bi: 0.5000 0.5000 0.5000
La: 0.5000 0.0000 0.0000
La: 0.0000 0.5000 0.0000
Zn: 0.0000 0.0000 0.5000
Ru: 0.0000 0.0000 0.0000

# MnHgMo4

MnHgMo4 after structural relaxation (PBE, Alexandria via LeMat-Bulk).

## Properties
Space-group type: No. 216
E_form: 0.532 eV per atom

a b c (Å): 5.2533 5.2533 5.2533
angles (deg): 60.00 60.00 60.00
Each line ends with the local moment (μB).
Atoms (fractional coordinates):
Mo: 0.3753 0.8741 0.3753  -0.21
Mo: 0.8741 0.3753 0.3753  -0.21
Mo: 0.3753 0.3753 0.3753  -0.21
Mo: 0.3753 0.3753 0.8741  -0.21
Hg: 0.7500 0.7500 0.7500  -0.04
Mn: 0.0000 0.0000 0.0000  3.21

# SmSc2Pd8

SmSc2Pd8 after structural relaxation (PBE, Alexandria via LeMat-Bulk).

## Properties
Space-group type: No. 12
E_form: -0.751 eV per atom

a b c (Å): 4.1048 6.6379 7.6171
angles (deg): 107.07 105.63 90.00
Atoms (fractional coordinates):
Pd: 0.3181 0.0866 0.6362
Pd: 0.6819 0.9134 0.3638
Pd: 0.1474 0.2013 0.2949
Pd: 0.8526 0.7987 0.7051
Pd: 0.4024 0.5372 0.8048
Pd: 0.5976 0.4628 0.1952
Pd: 0.0427 0.7143 0.0854
Pd: 0.9573 0.2857 0.9146
Sc: 0.7798 0.3340 0.5596
Sc: 0.2202 0.6660 0.4404
Sm: 0.5000 0.0000 0.0000